Here is a relaxed structure of NaBe4SbO7 from Alexandria. Energies are from GGA-PBEsol.

Cell: 5.450 5.450 8.882 Å, 90.00 90.00 120.00°
Fractional positions:
Na1 0.333 0.667 0.000
Na2 0.667 0.333 0.500
Be1 0.000 0.000 0.065
Be2 0.000 0.000 0.565
Be3 0.166 0.331 0.312
Be4 0.166 0.834 0.312
Be5 0.331 0.166 0.812
Be6 0.669 0.834 0.312
Be7 0.834 0.166 0.812
Be8 0.834 0.669 0.812
Sb1 0.333 0.667 0.625
Sb2 0.667 0.333 0.125
O1 0.000 0.000 0.250
O2 0.000 0.000 0.750
O3 0.010 0.505 0.254
O4 0.161 0.322 0.497
O5 0.161 0.839 0.497
O6 0.322 0.161 0.997
O7 0.495 0.505 0.254
O8 0.495 0.990 0.254
O9 0.505 0.010 0.754
O10 0.505 0.495 0.754
O11 0.678 0.839 0.497
O12 0.839 0.161 0.997
O13 0.839 0.678 0.997
O14 0.990 0.495 0.754

**V**: 8.79 Å³ per atom
**Raw formation energy**: -2.369 eV/atom
**ρ**: 4.3 g/cm3